VASP calculation (PBE+U) on Co3Ni2Te3O16 after structural relaxation.

Properties
Magnetization, μB/cell: 11.053
VASP energy, eV per atom: -5.383

Structure (POSCAR):
```
Co3Ni2Te3O16
1.0
-2.9251 -5.1632 0.2900
-1.0135 4.1869 4.1963
-6.6820 3.5560 -5.2128
Co Ni Te O
3 2 3 16
Direct
0.3376 0.1686 0.7899 Co
0.1703 0.8368 0.2920 Co
0.1639 0.3318 0.2866 Co
0.6576 0.3270 0.5028 Ni
0.3067 0.6534 0.0137 Ni
0.8363 0.6664 0.7835 Te
0.8359 0.1692 0.7857 Te
0.6650 0.8308 0.2887 Te
0.8501 0.6847 0.3973 O
0.9742 0.4820 0.6593 O
0.6942 0.3504 0.9080 O
0.9858 0.9914 0.6713 O
0.9883 0.9751 0.1777 O
0.8404 0.1613 0.3911 O
0.5350 0.4963 0.6647 O
0.5364 0.0423 0.6655 O
0.6742 0.8388 0.8983 O
0.3137 0.1597 0.3829 O
0.4640 0.9538 0.1695 O
0.4756 0.5161 0.1698 O
0.3496 0.6971 0.4066 O
0.1480 0.8259 0.8931 O
0.0510 0.5251 0.1887 O
0.1461 0.3163 0.8975 O
```